DFT (PBE) results for crystalline KPaMnTe3 at its relaxed geometry.

Cell and atoms, written as CIF:
```
data_KPaMnTe3
_chemical_formula_sum 'K2 Pa2 Mn2 Te6'
_cell_length_a 9.7621
_cell_length_b 4.3388
_cell_length_c 10.4531
_cell_angle_alpha 90.00
_cell_angle_beta 110.47
_cell_angle_gamma 90.00
_space_group_name_H-M_alt 'P 1'
_space_group_IT_number 1
loop_
_space_group_symop_operation_xyz
'x,y,z'
loop_
_atom_site_label
_atom_site_fract_x
_atom_site_fract_y
_atom_site_fract_z
_atom_site_occupancy
K1 0.2100 0.2500 0.2468 1
K2 0.7900 0.7500 0.7532 1
Pa1 0.3145 0.7500 0.8406 1
Pa2 0.6855 0.2500 0.1594 1
Mn1 0.0893 0.2500 0.6088 1
Mn2 0.9107 0.7500 0.3912 1
Te1 0.1032 0.2500 0.8710 1
Te2 0.2102 0.7500 0.5294 1
Te3 0.4564 0.7500 0.1595 1
Te4 0.5436 0.2500 0.8405 1
Te5 0.7898 0.2500 0.4706 1
Te6 0.8968 0.7500 0.1290 1
```

Calculated values
* E_tot: -66.9 eV/cell
* density of states at the Fermi level: 6.680 states/eV/f.u.


DFT (PBE) results for crystalline KMnPb2 at its relaxed geometry.

Cell and atoms, written as CIF:
```
data_KMnPb2
_chemical_formula_sum 'K1 Mn1 Pb2'
_cell_length_a 5.2320
_cell_length_b 5.2320
_cell_length_c 5.2320
_cell_angle_alpha 60.00
_cell_angle_beta 60.00
_cell_angle_gamma 60.00
_space_group_name_H-M_alt 'P 1'
_space_group_IT_number 1
loop_
_space_group_symop_operation_xyz
'x,y,z'
loop_
_atom_site_label
_atom_site_fract_x
_atom_site_fract_y
_atom_site_fract_z
_atom_site_occupancy
K1 0.0000 0.0000 0.0000 1
Mn1 0.5000 0.5000 0.5000 1
Pb1 0.2500 0.2500 0.2500 1
Pb2 0.7500 0.7500 0.7500 1
```

Calculated values
* energy above the lowest structure with this stoichiometry: 0.696 eV per atom
* E_tot: -14.4 eV/cell
* density of states at the Fermi level: 10.600 states/eV/f.u.
* E_form: 830 meV/atom